1.
A geometry-optimized Sr2HgGeH structure. Source: the Alexandria database, functional GGA-PBE.

Properties
E_tot	-2.693	eV/atom
spin magnetization	0.00	μB per formula unit

CIF file:
```
data_Sr2HgGeH
_space_group_name_H-M_alt 'P 4/m m m'
_space_group_IT_number 123
_space_group_name_Hall '-P 4 2'
_cell_length_a 5.2131
_cell_length_b 5.2131
_cell_length_c 4.4244
_cell_angle_alpha 90.00
_cell_angle_beta 90.00
_cell_angle_gamma 90.00
loop_
_atom_site_label
_atom_site_type_symbol
_atom_site_fract_x
_atom_site_fract_y
_atom_site_fract_z
Sr1 Sr 0.0000 0.5000 0.0000
Hg1 Hg 0.0000 0.0000 0.5000
Ge1 Ge 0.5000 0.5000 0.5000
H1 H 0.0000 0.0000 0.0000
```

***

2.
A geometry-optimized DyTmGaRh structure. Source: the Alexandria database, functional GGA-PBE.

Properties
ΔE to the lowest computed polymorph	0.044	eV/atom
spin magnetization	0.00	μB per formula unit

CIF file:
```
data_DyTmGaRh
_space_group_name_H-M_alt 'F -4 3 m'
_space_group_IT_number 216
_space_group_name_Hall 'F -4 2 3'
_cell_length_a 6.9694
_cell_length_b 6.9694
_cell_length_c 6.9694
_cell_angle_alpha 90.00
_cell_angle_beta 90.00
_cell_angle_gamma 90.00
loop_
_atom_site_label
_atom_site_type_symbol
_atom_site_fract_x
_atom_site_fract_y
_atom_site_fract_z
Dy1 Dy 0.0000 0.0000 0.0000
Tm1 Tm 0.0000 0.0000 0.5000
Ga1 Ga 0.2500 0.2500 0.2500
Rh1 Rh 0.2500 0.2500 0.7500
```